Computed, not measured: Sr2Mg12InCu3 after structural relaxation at the PBE level of DFT.

Output
Its density of states at the Fermi level is 12.225 states/eV/f.u. The total magnetization is 0.0 μB/f.u. As for the total energy: -34.1 eV per cell.

a = 8.998 Å, b = 8.998 Å, c = 8.998 Å
α = 58.50°, β = 58.50°, γ = 58.50°
Fractional coordinates of all 18 atoms:
Mg (0.538, 0.157, 0.157)
Mg (0.881, 0.237, 0.237)
Mg (0.763, 0.119, 0.763)
Mg (0.157, 0.157, 0.538)
Mg (0.843, 0.843, 0.462)
Mg (0.119, 0.763, 0.763)
Mg (0.763, 0.763, 0.119)
Mg (0.843, 0.462, 0.843)
Mg (0.157, 0.538, 0.157)
Mg (0.237, 0.881, 0.237)
Mg (0.462, 0.843, 0.843)
Mg (0.237, 0.237, 0.881)
Sr (0.414, 0.414, 0.414)
Sr (0.586, 0.586, 0.586)
Cu (0.000, 0.500, 0.000)
Cu (0.000, 0.000, 0.500)
Cu (0.500, 0.000, 0.000)
In (0.000, 0.000, 0.000)


Computed, not measured: Ba2NaMgN after structural relaxation at the PBE level of DFT.

Output
Its density of states at the Fermi level is 3.550 states/eV/f.u. The total magnetization is 0.0 μB/f.u. The formation energy without anion corrections is 1.23 eV/atom.

a = 6.315 Å, b = 5.130 Å, c = 6.315 Å
α = 90.00°, β = 90.00°, γ = 90.00°
Fractional coordinates of all 5 atoms:
Mg (0.000, 0.500, 0.000)
Na (0.000, 0.000, 0.000)
Ba (0.000, 0.000, 0.500)
Ba (0.500, 0.000, 0.000)
N (0.500, 0.500, 0.500)


Computed, not measured: SrCa2Tl2 after structural relaxation at the PBE level of DFT.

Output
Its density of states at the Fermi level is 3.921 states/eV/f.u. The total magnetization is 0.0 μB/f.u. Its energy above the lowest structure with this stoichiometry is 0.000 eV/f.u.

a = 9.163 Å, b = 9.163 Å, c = 4.076 Å
α = 90.00°, β = 90.00°, γ = 90.00°
Fractional coordinates of all 10 atoms:
Ca (0.340, 0.160, 0.500)
Ca (0.840, 0.340, 0.500)
Ca (0.660, 0.840, 0.500)
Ca (0.160, 0.660, 0.500)
Tl (0.364, 0.864, 0.000)
Tl (0.636, 0.136, 0.000)
Tl (0.864, 0.636, 0.000)
Tl (0.136, 0.364, 0.000)
Sr (0.000, 0.000, 0.000)
Sr (0.500, 0.500, 0.000)


Computed, not measured: ReHgCl after structural relaxation at the PBE level of DFT.

Output
Its density of states at the Fermi level is 1.451 states/eV/f.u. The total magnetization is 0.0 μB/f.u. Its energy above the lowest structure with this stoichiometry is 0.867 eV/f.u. The formation energy without anion corrections is 0.85 eV/atom.

a = 7.627 Å, b = 7.627 Å, c = 7.627 Å
α = 157.90°, β = 157.90°, γ = 31.45°
Fractional coordinates of all 3 atoms:
Cl (0.049, 0.049, 0.000)
Re (0.651, 0.651, 0.000)
Hg (0.299, 0.299, 0.000)


Computed, not measured: Tm8InAu2 after structural relaxation at the PBE level of DFT.

Output
Its density of states at the Fermi level is 14.432 states/eV/f.u. The total magnetization is 0.0 μB/f.u. As for the total energy: -48.6 eV per cell.

a = 5.358 Å, b = 8.160 Å, c = 8.160 Å
α = 115.52°, β = 99.27°, γ = 99.27°
Fractional coordinates of all 11 atoms:
Tm (0.697, 0.394, 0.394)
Tm (0.500, 0.234, 0.766)
Tm (0.093, 0.088, 0.329)
Tm (0.500, 0.766, 0.234)
Tm (0.093, 0.329, 0.088)
Tm (0.303, 0.606, 0.606)
Tm (0.907, 0.671, 0.912)
Tm (0.907, 0.912, 0.671)
Au (0.000, 0.305, 0.695)
Au (0.000, 0.695, 0.305)
In (0.500, 0.000, 0.000)


Computed, not measured: Li3AgC after structural relaxation at the PBE level of DFT.

Output
Its density of states at the Fermi level is 2.515 states/eV/f.u. The total magnetization is 2.0 μB/f.u. Its energy above the lowest structure with this stoichiometry is 4.325 eV/f.u.

a = 4.786 Å, b = 4.786 Å, c = 4.786 Å
α = 90.00°, β = 90.00°, γ = 90.00°
Fractional coordinates of all 5 atoms:
Li (0.500, 0.000, 0.000)
Li (0.000, 0.500, 0.000)
Li (0.000, 0.000, 0.500)
C (0.500, 0.500, 0.500)
Ag (0.000, 0.000, 0.000)


The highest total magnetization belongs to which entry?
Li3AgC


total magnetization of number 4 (ReHgCl)?
0.0 μB/f.u.


total magnetization of number 3 (SrCa2Tl2)?
0.0 μB/f.u.